No. 1
First-principles (meta-GGA SCAN) data for AlNiI2N at its PBEsol-relaxed geometry, as listed in Alexandria.

Output
Space-group type ... P4/mmm
V ... 20.995 Å³/atom
Energy above the most stable polymorph in this dataset ... 0.062 eV/atom
Uncorrected formation energy ... 54.6 kJ per mole of atoms

The structure in POSCAR format:
```
AlNiI2N
1.0
5.4523 0.0000 0.0000
0.0000 5.4523 0.0000
0.0000 0.0000 3.5314
Al Ni I N
1 1 2 1
Cartesian
0.0000 0.0000 0.0000
2.7261 2.7261 1.7657
0.0000 2.7261 1.7657
2.7261 0.0000 1.7657
2.7261 2.7261 0.0000
```


No. 2
First-principles (meta-GGA SCAN) data for AlNiI2N at its PBEsol-relaxed geometry, as listed in Alexandria.

Output
Space-group type ... P4/mmm
V ... 21.312 Å³/atom
Energy above the most stable polymorph in this dataset ... 0.000 eV/atom
Uncorrected formation energy ... 48.7 kJ per mole of atoms

The structure in POSCAR format:
```
AlNiI2N
1.0
5.5343 0.0000 0.0000
0.0000 5.5343 0.0000
0.0000 0.0000 3.4790
Al Ni I N
1 1 2 1
Cartesian
0.0000 0.0000 0.0000
2.7672 2.7672 1.7395
0.0000 2.7672 0.0000
2.7672 0.0000 0.0000
0.0000 0.0000 1.7395
```